Record 1
Entry from the Alexandria database: an optimized crystal structure of K2TlAg2Cl7 (PBE-GGA).

Lattice parameters (Å, degrees): 5.1557 5.1557 13.2930 78.80 78.80 89.99
Closest atoms and distances in Å follow each position.
Atoms (fractional coordinates):
Cl 0.5000 0.5000 0.0000  2 Ag 2.54
Cl 0.3019 0.3019 0.3979  1 Ag 2.55
Cl 0.5960 0.0956 0.8085  2 Ag 2.58
Cl 0.6981 0.6981 0.6021  1 Ag 2.55
Cl 0.4040 0.9044 0.1915  2 Ag 2.58
Cl 0.9044 0.4040 0.1915  2 Ag 2.58
Cl 0.0956 0.5960 0.8085  2 Ag 2.58
Tl 0.0000 0.0000 0.0000  12 Cl 3.55-3.65
K 0.1806 0.1806 0.6414  5 Cl 3.11-3.35
K 0.8194 0.8194 0.3586  5 Cl 3.11-3.35
Ag 0.4009 0.4009 0.1986  6 Cl 2.54-2.58
Ag 0.5991 0.5991 0.8014  6 Cl 2.54-2.58



Record 2
Entry from the Alexandria database: an optimized crystal structure of K2TlAgCl6 (PBE-GGA).

Summary:
Energy above the lowest structure with this stoichiometry ... 0.034 eV/atom

Lattice parameters (Å, degrees): 7.4931 7.4931 7.4931 60.00 60.00 60.00
Closest atoms and distances in Å follow each position.
Atoms (fractional coordinates):
Cl 0.2491 0.7509 0.7509  1 Tl 2.64, 1 Ag 2.66
Cl 0.7509 0.2491 0.7509  1 Tl 2.64, 1 Ag 2.66
Cl 0.2491 0.7509 0.2491  1 Tl 2.64, 1 Ag 2.66
Cl 0.7509 0.7509 0.2491  1 Tl 2.64, 1 Ag 2.66
Cl 0.7509 0.2491 0.2491  1 Tl 2.64, 1 Ag 2.66
Cl 0.2491 0.2491 0.7509  1 Tl 2.64, 1 Ag 2.66
Ag 0.5000 0.5000 0.5000  6 Cl 2.66
K 0.2500 0.2500 0.2500  12 Cl 3.75
K 0.7500 0.7500 0.7500  12 Cl 3.75
Tl 0.0000 0.0000 0.0000  6 Cl 2.64



Record 3
Entry from the Alexandria database: an optimized crystal structure of K3Tl3AgCl8 (PBE-GGA).

Lattice parameters (Å, degrees): 8.9462 8.9243 9.1076 119.71 90.00 120.08
Closest atoms and distances in Å follow each position.
Atoms (fractional coordinates):
Tl 0.5000 0.5000 0.0000  6 Cl 3.23-3.30
Tl 0.0000 0.5000 0.0000  6 Cl 3.23-3.30
Tl 0.0000 0.0000 0.0000  6 Cl 3.22-3.25
Cl 0.7820 0.0043 0.2864  1 Ag 2.78
Cl 0.8018 0.6036 0.3066  1 Ag 2.51
Cl 0.2223 0.0043 0.2864  1 Ag 2.78
Cl 0.2180 0.9957 0.7136  1 Ag 2.78
Cl 0.1982 0.3964 0.6934  1 Ag 2.51
Cl 0.7777 0.9957 0.7136  1 Ag 2.78
Cl 0.2539 0.5079 0.2609  3 K 3.12-3.15, 3 Tl 3.22-3.24
Cl 0.7461 0.4921 0.7391  3 K 3.12-3.15, 3 Tl 3.22-3.24
Ag 0.0000 0.0000 0.5000  6 Cl 2.51-2.78
K 0.5000 0.5000 0.5000  6 Cl 3.15-3.22
K 0.5000 0.0000 0.5000  6 Cl 3.12-3.18
K 0.0000 0.5000 0.5000  6 Cl 3.15-3.22



Record 4
Entry from the Alexandria database: an optimized crystal structure of K2TlAg2Cl6 (PBE-GGA).

Lattice parameters (Å, degrees): 7.7339 7.8245 7.4766 114.41 90.00 119.62
Closest atoms and distances in Å follow each position.
Atoms (fractional coordinates):
Cl 0.7313 0.4627 0.5842  1 Ag 2.45
Cl 0.8254 0.1391 0.8202  1 Ag 2.54
Cl 0.2687 0.5373 0.4158  1 Ag 2.45
Cl 0.3137 0.1391 0.8202  1 Ag 2.54
Cl 0.1746 0.8609 0.1798  1 Ag 2.54
Cl 0.6863 0.8609 0.1798  1 Ag 2.54
Tl 0.5000 0.0000 0.5000  6 Cl 2.90
K 0.7343 0.4687 0.1696  5 Cl 3.12-3.24
K 0.2657 0.5313 0.8304  5 Cl 3.12-3.24
Ag 0.9356 0.8711 0.7794  3 Cl 2.45-2.54
Ag 0.0644 0.1289 0.2206  3 Cl 2.45-2.54



Number 1: ΔE_f (raw) -1015 meV/atom, density 3.6 g cm⁻³. Number 2: ΔE_f (raw) -1146 meV/atom, density 3.4 g cm⁻³. Number 3: ΔE_f (raw) -1241 meV/atom, density 3.6 g cm⁻³. Number 4: ΔE_f (raw) -1048 meV/atom, density 3.4 g cm⁻³.